Record 1
4
Lattice="2.660 0.000 0.000 0.000 2.660 0.000 0.000 0.000 7.452" Properties=species:S:1:pos:R:3 comment="CrIr2Ru (PBEsol, optimized geometry)" vol_a3_per_cell=52.7 e_tot_ev_per_atom=-10.1111 polymorph_energy_kj_per_mol_atoms=9.03 dos_at_fermi_per_ev_cell=3.874 pbc="T T T"
Ru 1.330 1.330 0.000
Ir 0.000 0.000 5.519
Ir 0.000 0.000 1.933
Cr 1.330 1.330 3.726

***

Record 2
4
Lattice="3.730 0.000 0.000 0.000 3.730 0.000 0.000 0.000 3.753" Properties=species:S:1:pos:R:3 comment="CrIrRu2 (PBEsol, optimized geometry)" vol_a3_per_cell=52.2 e_tot_ev_per_atom=-10.1377 polymorph_energy_kj_per_mol_atoms=0.00 dos_at_fermi_per_ev_cell=4.168 pbc="T T T"
Ru 0.000 1.865 0.000
Ru 1.865 0.000 0.000
Ir 0.000 0.000 1.876
Cr 1.865 1.865 1.876

***

Record 3
4
Lattice="-0.686 -1.772 1.877 1.160 -3.433 -2.817 3.661 1.216 2.487" Properties=species:S:1:pos:R:3 comment="CrIr2Ru (PBEsol, optimized geometry)" vol_a3_per_cell=53.1 e_tot_ev_per_atom=-10.1255 polymorph_energy_kj_per_mol_atoms=7.64 dos_at_fermi_per_ev_cell=3.504 pbc="T T T"
Ru -0.343 -0.886 0.938
Ir 0.580 -1.716 -1.409
Ir 1.831 0.608 1.243
Cr 2.067 -1.994 0.773

***

Record 4
4
Lattice="-1.932 -3.137 0.607 3.194 -1.874 0.479 -0.729 3.274 3.116" Properties=species:S:1:pos:R:3 comment="CrIrRu2 (PBEsol, optimized geometry)" vol_a3_per_cell=52.2 e_tot_ev_per_atom=-10.1235 polymorph_energy_kj_per_mol_atoms=1.37 dos_at_fermi_per_ev_cell=4.110 pbc="T T T"
Ru 0.000 0.000 0.000
Ru -1.015 -1.184 2.133
Ir 1.548 -0.553 2.069
Cr 0.631 -2.506 0.543